*A*
# LaNdDyAg, optimized geometry, DFT GGA-PBE
data_LaNdDyAg
_space_group_name_H-M_alt 'P 4 m m'
_space_group_IT_number 99
_cell_length_a 3.710
_cell_length_b 3.710
_cell_length_c 8.766
_cell_angle_alpha 90.00
_cell_angle_beta 90.00
_cell_angle_gamma 90.00
loop_
_space_group_symop_operation_xyz
'x,y,z'
'-y,x,z'
'-x,-y,z'
'y,-x,z'
'-x,y,z'
'y,x,z'
'x,-y,z'
'-y,-x,z'
loop_
_atom_site_label
_atom_site_type_symbol
_atom_site_fract_x
_atom_site_fract_y
_atom_site_fract_z
La1 La 0.000 0.000 0.000
Nd1 Nd 0.500 0.500 0.703
Dy1 Dy 0.500 0.500 0.288
Ag1 Ag 0.000 0.000 0.479
# N(E_F) = 5.82 states/eV/cell
# Calculated volume = 30.16 Å³ per atom
# Spin magnetization = 0.00 Bohr magnetons per cell

=====

*B*
# LaNdDyAg, optimized geometry, DFT GGA-PBE
data_LaNdDyAg
_space_group_name_H-M_alt 'F -4 3 m'
_space_group_IT_number 216
_space_group_name_Hall 'F -4 2 3'
_cell_length_a 7.825
_cell_length_b 7.825
_cell_length_c 7.825
_cell_angle_alpha 90.00
_cell_angle_beta 90.00
_cell_angle_gamma 90.00
loop_
_atom_site_label
_atom_site_type_symbol
_atom_site_fract_x
_atom_site_fract_y
_atom_site_fract_z
La1 La 0.000 0.000 0.000
Nd1 Nd 0.000 0.000 0.500
Dy1 Dy 0.250 0.250 0.250
Ag1 Ag 0.250 0.250 0.750
# N(E_F) = 15.16 states/eV/cell
# Calculated volume = 29.94 Å³ per atom
# Spin magnetization = 0.00 Bohr magnetons per cell

=====

Which is more stable than every other structure shown? *A* is more stable than every other one.